Entry 1:
The following is a DFT calculation (PBE-GGA) of a geometry-optimized FePC structure.

Summary:
E above lowest polymorph, eV per atom: 0.289
Total magnetic moment, μB/atom: 0.119

a = 6.737 Å, b = 2.830 Å, c = 3.961 Å
α = 90.00°, β = 119.53°, γ = 90.00°
Space group Cm (No. 8)
One atom of each set of equivalent atoms:
1 Fe 0.000 0.000 0.000 [2 per cell]
2 P 0.186 0.000 0.642 [2 per cell]
3 C 0.202 0.500 0.970 [2 per cell]


Entry 2:
The following is a DFT calculation (PBE-GGA) of a geometry-optimized K2NaSn2Te4 structure.

Summary:
Total magnetic moment, μB/atom: 0.000
Raw formation energy, eV/atom: -0.63

a = 15.717 Å, b = 5.766 Å, c = 7.543 Å
α = 90.00°, β = 98.34°, γ = 90.00°
Space group C2/m (No. 12)
One atom of each set of equivalent atoms:
1 K 0.146 0.000 0.119 [4 per cell]
2 Na 0.000 0.000 0.500 [2 per cell]
3 Sn 0.143 0.500 0.584 [4 per cell]
4 Te 0.029 0.500 0.247 [4 per cell]
5 Te 0.194 0.000 0.670 [4 per cell]


Entry 3:
The following is a DFT calculation (PBE-GGA) of a geometry-optimized CaCrMo2 structure.

Summary:
E above lowest polymorph, eV per atom: 0.723
Total magnetic moment, μB/atom: 0.000

a = 4.856 Å, b = 4.856 Å, c = 16.405 Å
α = 90.00°, β = 90.00°, γ = 90.00°
Space group I4_1/amd (No. 141, origin choice 2)
One atom of each set of equivalent atoms:
1 Ca 0.000 0.250 0.375 [4 per cell]
2 Cr 0.000 0.250 0.875 [4 per cell]
3 Mo 0.000 0.000 0.000 [8 per cell]


Entry 4:
The following is a DFT calculation (PBE-GGA) of a geometry-optimized Li2Hg2Pb structure.

Summary:
E above lowest polymorph, eV per atom: 0.024
Total magnetic moment, μB/atom: 0.000

a = 8.108 Å, b = 8.108 Å, c = 3.288 Å
α = 90.00°, β = 90.00°, γ = 90.00°
Space group P4/mbm (No. 127)
One atom of each set of equivalent atoms:
1 Li 0.139 0.361 0.000 [4 per cell]
2 Hg 0.148 0.648 0.500 [4 per cell]
3 Pb 0.000 0.000 0.000 [2 per cell]


Entry 5:
The following is a DFT calculation (PBE-GGA) of a geometry-optimized La6OsPt2I3 structure.

Summary:
Total magnetic moment, μB/atom: 0.000
Raw formation energy, eV/atom: -1.09

a = 7.440 Å, b = 12.887 Å, c = 8.603 Å
α = 90.00°, β = 106.75°, γ = 90.00°
Space group C2/m (No. 12)
One atom of each set of equivalent atoms:
1 La 0.223 0.161 0.187 [8 per cell]
2 La 0.241 0.500 0.188 [4 per cell]
3 Os 0.000 0.000 0.000 [2 per cell]
4 Pt 0.000 0.333 0.000 [4 per cell]
5 I 0.000 0.166 0.500 [4 per cell]
6 I 0.000 0.500 0.500 [2 per cell]


Entry 6:
The following is a DFT calculation (PBE-GGA) of a geometry-optimized Ce2InSe4 structure.

Summary:
E above lowest polymorph, eV per atom: 0.035
Total magnetic moment, μB/atom: 0.325
Raw formation energy, eV/atom: -1.34

a = 7.466 Å, b = 11.886 Å, c = 4.349 Å
α = 90.00°, β = 90.00°, γ = 90.00°
Space group Pbam (No. 55)
One atom of each set of equivalent atoms:
1 Ce 0.089 0.183 0.000 [4 per cell]
2 In 0.000 0.500 0.500 [2 per cell]
3 Se 0.137 0.717 0.500 [4 per cell]
4 Se 0.249 0.951 0.000 [4 per cell]


| no. | total DFT energy (no corrections) (eV/atom) |
| --- | --- |
| 1 | -7.28 |
| 2 | -3.30 |
| 3 | -7.04 |
| 4 | -1.88 |
| 5 | -5.88 |
| 6 | -5.42 |